AcVAsO5 | PBE+U | optimized geometry

Computed properties:
Calculated density in g cm⁻³: 5.7
Space group: C2/c, No. 15
Total moment in μB/cell: 2.00
Raw total energy in eV for the cell shown: -115.24

```
AcVAsO5
1.0
5.896 -0.709 0.362
-2.400 5.433 0.362
-0.947 -1.278 8.075
O Ac V As
10 2 2 2
Cartesian
-0.996 4.068 7.289 O
-1.566 4.320 2.380 O
0.802 3.115 3.962 O
1.749 0.329 4.836 O
4.655 0.874 3.251 O
0.278 2.408 0.799 O
-2.105 2.571 5.547 O
4.116 -0.875 6.418 O
3.546 -0.624 1.510 O
2.273 1.037 8.000 O
0.000 0.000 0.000 Ac
-0.473 -0.639 4.038 Ac
2.582 0.260 6.418 V
-0.031 3.184 2.380 V
3.128 0.846 2.380 As
-0.577 2.599 6.418 As
```